Entry 1:
Density functional theory data (GGA-PBE) for a relaxed MgBi2S4 crystal.

## Properties
formation energy (no corrections) = -0.461 eV/atom

POSCAR file:
```
MgBi2S4
1.0
4.0263 -8.9894 0.0000
4.0263 8.9894 0.0000
0.0000 0.0000 7.6845
Mg Bi S
2 4 8
Direct
0.0000 0.0000 0.2500 Mg
0.0000 0.0000 0.7500 Mg
0.1846 0.7514 0.0000 Bi
0.2486 0.8154 0.5000 Bi
0.7514 0.1846 0.5000 Bi
0.8154 0.2486 0.0000 Bi
0.0000 0.5000 0.2539 S
0.0000 0.5000 0.7461 S
0.0255 0.1815 0.0000 S
0.1815 0.0255 0.5000 S
0.5000 0.0000 0.2461 S
0.5000 0.0000 0.7539 S
0.8185 0.9745 0.5000 S
0.9745 0.8185 0.0000 S
```


Entry 2:
Density functional theory data (GGA-PBE) for a relaxed MgBiS3 crystal.

## Properties
formation energy (no corrections) = -0.082 eV/atom

POSCAR file:
```
MgBiS3
1.0
4.7748 0.0000 0.0000
0.0000 4.7748 0.0000
0.0000 0.0000 4.7748
Mg Bi S
1 1 3
Direct
0.0000 0.0000 0.0000 Mg
0.5000 0.5000 0.5000 Bi
0.0000 0.0000 0.5000 S
0.0000 0.5000 0.0000 S
0.5000 0.0000 0.0000 S
```


Entry 3:
Density functional theory data (GGA-PBE) for a relaxed MgBiS3 crystal.

## Properties
formation energy (no corrections) = -0.523 eV/atom

POSCAR file:
```
MgBiS3
1.0
7.7218 0.0000 0.0000
0.0000 10.8152 0.0000
0.0000 0.0000 6.2368
Mg Bi S
4 4 12
Direct
0.1700 0.2500 0.0671 Mg
0.3300 0.7500 0.5671 Mg
0.6700 0.2500 0.4329 Mg
0.8300 0.7500 0.9329 Mg
0.0000 0.0000 0.5000 Bi
0.0000 0.5000 0.5000 Bi
0.5000 0.0000 0.0000 Bi
0.5000 0.5000 0.0000 Bi
0.0083 0.7500 0.6081 S
0.1421 0.0319 0.9230 S
0.1421 0.4681 0.9230 S
0.3579 0.5319 0.4230 S
0.3579 0.9681 0.4230 S
0.4917 0.2500 0.1081 S
0.5083 0.7500 0.8919 S
0.6421 0.0319 0.5770 S
0.6421 0.4681 0.5770 S
0.8579 0.5319 0.0770 S
0.8579 0.9681 0.0770 S
0.9917 0.2500 0.3919 S
```


Entry 4:
Density functional theory data (GGA-PBE) for a relaxed Mg3BiS crystal.

## Properties
formation energy (no corrections) = -0.369 eV/atom

POSCAR file:
```
Mg3BiS
1.0
4.9553 0.0000 0.0000
0.0000 4.9553 0.0000
0.0000 0.0000 4.9553
Mg Bi S
3 1 1
Direct
0.0000 0.0000 0.5000 Mg
0.0000 0.5000 0.0000 Mg
0.5000 0.0000 0.0000 Mg
0.5000 0.5000 0.5000 Bi
0.0000 0.0000 0.0000 S
```


Number 1: density of states at the Fermi level 0.51 states/eV/cell, offset from the most stable computed form 169 meV per atom, M_tot 0.000 μB/atom. Number 2: density of states at the Fermi level 2.62 states/eV/cell, offset from the most stable computed form 441 meV per atom, M_tot 0.000 μB/atom. Number 3: density of states at the Fermi level 10.03 states/eV/cell, offset from the most stable computed form 0 meV per atom, M_tot 0.000 μB/atom. Number 4: density of states at the Fermi level 3.58 states/eV/cell, offset from the most stable computed form 0 meV per atom, M_tot 0.000 μB/atom.